## CoSi2Ag (PBE-GGA)

Data for a geometry-optimized CoSi2Ag structure.

Properties
- energy above the lowest structure with this stoichiometry (kJ per mole of atoms) = 9.30
- formation energy without anion corrections (eV/atom) = 0.0532
- N(E_F) (states/eV/f.u.) = 1.036
- space-group type = No. 25
- electronic total energy (Ry per atom) = -0.3783

a b c (Å): 3.0402 3.2685 5.6033
angles (deg): 90.00 90.00 90.00
Last column: nearest neighbours and their distance in Å.
Element x y z (fractional)
Co: 0.0000 0.0000 0.0000  5 Si 2.24-2.34
Si: 0.0000 0.0000 0.4001  1 Co 2.24
Si: 0.5000 0.5000 0.1268  4 Co 2.34, 1 Ag 2.61
Ag: 0.5000 0.5000 0.6604  5 Si 2.61-2.67